Density functional theory data (PBE-GGA) for an optimized crystal structure of Dy3Pa.

Geometry as POSCAR:
```
Dy3Pa
1.0
3.4172 0.0000 0.0000
0.0000 5.6723 0.0000
0.0000 0.0000 6.1029
Dy Pa
3 1
direct
0.0000 0.0000 0.0000 Dy
0.0000 0.5000 0.3195 Dy
0.5000 0.5000 0.8030 Dy
0.5000 0.0000 0.4877 Pa
```

Values from the calculation:
As for the space-group type: Pmm2. Its relative energy among the computed polymorphs is 13 meV/atom. The formation energy comes out at 0.199 eV/atom. As for the volume: 118 Å³ per cell.



Density functional theory data (PBE-GGA) for an optimized crystal structure of Zr2AlNi4.

Geometry as POSCAR:
```
Zr2AlNi4
1.0
4.0413 0.0000 0.0000
0.0000 7.1190 0.0000
0.0000 0.0000 7.1599
Zr Al Ni
4 2 8
direct
0.2500 0.0043 0.1923 Zr
0.2500 0.4957 0.1923 Zr
0.7500 0.5043 0.8077 Zr
0.7500 0.9957 0.8077 Zr
0.2500 0.7500 0.5528 Al
0.7500 0.2500 0.4472 Al
0.2500 0.0833 0.5764 Ni
0.2500 0.2500 0.8925 Ni
0.2500 0.4167 0.5764 Ni
0.2500 0.7500 0.8990 Ni
0.7500 0.2500 0.1010 Ni
0.7500 0.5833 0.4236 Ni
0.7500 0.7500 0.1075 Ni
0.7500 0.9167 0.4236 Ni
```

Values from the calculation:
As for the space-group type: Pmmn. Its relative energy among the computed polymorphs is 0 meV/atom. The formation energy comes out at -0.502 eV/atom. As for the volume: 206 Å³ per cell.



Density functional theory data (PBE-GGA) for an optimized crystal structure of Tb5InRh2.

Geometry as POSCAR:
```
Tb5InRh2
1.0
-3.9040 3.9040 6.7844
3.9040 -3.9040 6.7844
3.9040 3.9040 -6.7844
Tb In Rh
10 2 4
direct
0.0000 0.0000 0.0000 Tb
0.0256 0.5256 0.8202 Tb
0.2054 0.0256 0.5000 Tb
0.2946 0.7946 0.8202 Tb
0.4744 0.2946 0.5000 Tb
0.5000 0.5000 0.0000 Tb
0.5256 0.7054 0.5000 Tb
0.7054 0.2054 0.1798 Tb
0.7946 0.9744 0.5000 Tb
0.9744 0.4744 0.1798 Tb
0.2500 0.2500 0.0000 In
0.7500 0.7500 0.0000 In
0.1388 0.3612 0.5000 Rh
0.3612 0.8612 0.2224 Rh
0.6388 0.1388 0.7776 Rh
0.8612 0.6388 0.5000 Rh
```

Values from the calculation:
As for the space-group type: I4/mcm. The formation energy comes out at -0.613 eV/atom. As for the volume: 414 Å³ per cell.



Density functional theory data (PBE-GGA) for an optimized crystal structure of La3CeSe6.

Geometry as POSCAR:
```
La3CeSe6
1.0
6.6558 3.8427 4.1393
-6.6558 3.8427 4.1393
0.0000 -7.6854 4.1393
La Ce Se
6 2 12
direct
0.1152 0.2873 0.6238 La
0.2873 0.6238 0.1152 La
0.3762 0.8848 0.7127 La
0.6238 0.1152 0.2873 La
0.7127 0.3762 0.8848 La
0.8848 0.7127 0.3762 La
0.0000 0.0000 0.0000 Ce
0.5000 0.5000 0.5000 Ce
0.0499 0.9368 0.6768 Se
0.0632 0.3232 0.9501 Se
0.1825 0.5683 0.4254 Se
0.3232 0.9501 0.0632 Se
0.4254 0.1825 0.5683 Se
0.4317 0.5746 0.8175 Se
0.5683 0.4254 0.1825 Se
0.5746 0.8175 0.4317 Se
0.6768 0.0499 0.9368 Se
0.8175 0.4317 0.5746 Se
0.9368 0.6768 0.0499 Se
0.9501 0.0632 0.3232 Se
```

Values from the calculation:
As for the space-group type: R-3. Its relative energy among the computed polymorphs is 0 meV/atom. As for the volume: 635 Å³ per cell.



Density functional theory data (PBE-GGA) for an optimized crystal structure of Mn2CoMo.

Geometry as POSCAR:
```
Mn2CoMo
1.0
-3.2538 3.2538 2.5689
3.2538 -3.2538 2.5689
3.2538 3.2538 -2.5689
Mn Co Mo
4 2 2
direct
0.1113 0.1250 0.4863 Mn
0.3750 0.8887 0.0137 Mn
0.6387 0.6250 0.5137 Mn
0.8750 0.3613 0.9863 Mn
0.0000 0.0000 0.0000 Co
0.7500 0.2500 0.5000 Co
0.2500 0.7500 0.5000 Mo
0.5000 0.5000 0.0000 Mo
```

Values from the calculation:
As for the space-group type: I-42d. The formation energy comes out at 0.589 eV/atom. As for the volume: 109 Å³ per cell.



Density functional theory data (PBE-GGA) for an optimized crystal structure of La2AgC.

Geometry as POSCAR:
```
La2AgC
1.0
-3.6670 3.6670 4.0899
3.6670 -3.6670 4.0899
3.6670 3.6670 -4.0899
La Ag C
4 2 2
direct
0.0463 0.1250 0.4213 La
0.3750 0.9537 0.0787 La
0.7037 0.6250 0.5787 La
0.8750 0.2963 0.9213 La
0.2500 0.7500 0.5000 Ag
0.5000 0.5000 0.0000 Ag
0.0000 0.0000 0.0000 C
0.7500 0.2500 0.5000 C
```

Values from the calculation:
As for the space-group type: I-42d. The formation energy comes out at 0.001 eV/atom. As for the volume: 220 Å³ per cell.



Density functional theory data (PBE-GGA) for an optimized crystal structure of MnHRuAu.

Geometry as POSCAR:
```
MnHRuAu
1.0
-1.5599 1.5666 4.9498
1.5599 -1.5666 4.9498
1.5599 1.5666 -4.9498
Mn H Ru Au
1 1 1 1
direct
0.0000 0.0000 0.0000 Mn
0.2042 0.2042 0.0000 H
0.3724 0.3724 0.0000 Ru
0.6701 0.6701 0.0000 Au
```

Values from the calculation:
As for the space-group type: Imm2. Its relative energy among the computed polymorphs is 69 meV/atom. As for the volume: 48 Å³ per cell.



Density functional theory data (PBE-GGA) for an optimized crystal structure of YHo8Tl6.

Geometry as POSCAR:
```
YHo8Tl6
1.0
4.5288 2.6147 6.4976
-4.5288 2.6147 6.4976
0.0000 -5.2294 6.4976
Y Ho Tl
1 8 6
direct
0.0000 0.0000 0.0000 Y
0.1089 0.7756 0.4433 Ho
0.2244 0.5567 0.8911 Ho
0.3335 0.3335 0.3335 Ho
0.4433 0.1089 0.7756 Ho
0.5567 0.8911 0.2244 Ho
0.6665 0.6665 0.6665 Ho
0.7756 0.4433 0.1089 Ho
0.8911 0.2244 0.5567 Ho
0.0648 0.3982 0.7308 Tl
0.2692 0.9352 0.6018 Tl
0.3982 0.7308 0.0648 Tl
0.6018 0.2692 0.9352 Tl
0.7308 0.0648 0.3982 Tl
0.9352 0.6018 0.2692 Tl
```

Values from the calculation:
As for the space-group type: R-3. The formation energy comes out at -0.131 eV/atom. As for the volume: 462 Å³ per cell.



Density functional theory data (PBE-GGA) for an optimized crystal structure of SrTmMg17.

Geometry as POSCAR:
```
SrTmMg17
1.0
5.1742 2.9873 5.1044
-5.1742 2.9873 5.1044
0.0000 -5.9747 5.1044
Sr Tm Mg
1 1 17
direct
0.0000 0.0000 0.0000 Sr
0.3363 0.3363 0.3363 Tm
0.0208 0.0208 0.4929 Mg
0.0208 0.4929 0.0208 Mg
0.1604 0.6676 0.6676 Mg
0.3179 0.3179 0.8096 Mg
0.3179 0.8096 0.3179 Mg
0.3637 0.6598 0.9688 Mg
0.3637 0.9688 0.6598 Mg
0.4929 0.0208 0.0208 Mg
0.5624 0.5624 0.5624 Mg
0.6598 0.3637 0.9688 Mg
0.6598 0.9688 0.3637 Mg
0.6676 0.1604 0.6676 Mg
0.6676 0.6676 0.1604 Mg
0.7604 0.7604 0.7604 Mg
0.8096 0.3179 0.3179 Mg
0.9688 0.3637 0.6598 Mg
0.9688 0.6598 0.3637 Mg
```

Values from the calculation:
As for the space-group type: R3m. The formation energy comes out at -0.019 eV/atom. As for the volume: 473 Å³ per cell.



Density functional theory data (PBE-GGA) for an optimized crystal structure of TbPrDy2.

Geometry as POSCAR:
```
TbPrDy2
1.0
5.0794 0.0000 0.0000
0.0000 5.0794 0.0000
0.0000 0.0000 5.0666
Tb Pr Dy
1 1 2
direct
0.0000 0.0000 0.0000 Tb
0.5000 0.5000 0.0000 Pr
0.0000 0.5000 0.5000 Dy
0.5000 0.0000 0.5000 Dy
```

Values from the calculation:
As for the space-group type: P4/mmm. Its relative energy among the computed polymorphs is 22 meV/atom. The formation energy comes out at 0.021 eV/atom. As for the volume: 131 Å³ per cell.



Density functional theory data (PBE-GGA) for an optimized crystal structure of Mg2PtCl.

Geometry as POSCAR:
```
Mg2PtCl
1.0
3.1003 0.0000 0.0000
0.0000 3.1003 0.0000
0.0000 0.0000 9.0053
Mg Pt Cl
2 1 1
direct
0.0000 0.0000 0.0000 Mg
0.5000 0.5000 0.2959 Mg
0.0000 0.0000 0.4613 Pt
0.5000 0.5000 0.8456 Cl
```

Values from the calculation:
As for the space-group type: P4mm. Its relative energy among the computed polymorphs is 483 meV/atom. As for the volume: 87 Å³ per cell.



Density functional theory data (PBE-GGA) for an optimized crystal structure of LiHfCr2H.

Geometry as POSCAR:
```
LiHfCr2H
1.0
3.6744 0.0000 0.0000
0.0000 3.6744 0.0000
0.0000 0.0000 4.3803
Li Hf Cr H
1 1 2 1
direct
0.0000 0.0000 0.0000 Li
0.5000 0.5000 0.0000 Hf
0.0000 0.5000 0.5000 Cr
0.5000 0.0000 0.5000 Cr
0.5000 0.5000 0.5000 H
```

Values from the calculation:
As for the space-group type: P4/mmm. As for the volume: 59 Å³ per cell. The raw total energy is -32.93 eV for the cell shown.



- Which of these has the lowest volume?
  MnHRuAu